VASP calculation (PBE) on an optimized crystal structure of DyLuSi2Pd.

Results
Energy above the lowest structure with this stoichiometry: 8 meV/atom
Calculated volume: 19.426 Å³/atom

Cell lengths 5.590, 5.590, 10.051 Å; angles 115.96, 115.96, 44.59 degrees
Element x y z (fractional)
Dy (0.001, 0.001, 0.322)
Dy (0.999, 0.999, 0.678)
Lu (0.185, 0.185, 0.106)
Lu (0.815, 0.815, 0.894)
Si (0.366, 0.366, 0.434)
Si (0.479, 0.479, 0.111)
Si (0.521, 0.521, 0.889)
Si (0.634, 0.634, 0.566)
Pd (0.276, 0.276, 0.644)
Pd (0.724, 0.724, 0.356)


VASP calculation (PBE) on an optimized crystal structure of DyLuSi2Pd.

Results
Energy above the lowest structure with this stoichiometry: 0 meV/atom
Calculated volume: 19.356 Å³/atom

Cell lengths 5.609, 5.609, 9.969 Å; angles 115.41, 115.41, 44.13 degrees
Element x y z (fractional)
Dy (0.186, 0.186, 0.107)
Dy (0.814, 0.814, 0.893)
Lu (0.003, 0.003, 0.326)
Lu (0.997, 0.997, 0.674)
Si (0.369, 0.369, 0.434)
Si (0.481, 0.481, 0.116)
Si (0.519, 0.519, 0.884)
Si (0.631, 0.631, 0.566)
Pd (0.275, 0.275, 0.637)
Pd (0.725, 0.725, 0.363)


VASP calculation (PBE) on an optimized crystal structure of Dy5Lu2Te2Pd2.

Results
Energy above the lowest structure with this stoichiometry: 0 meV/atom
Calculated volume: 26.757 Å³/atom

Cell lengths 9.362, 9.362, 9.362 Å; angles 155.72, 67.23, 118.40 degrees
Element x y z (fractional)
Dy (0.000, 0.000, 0.000)
Dy (0.092, 0.736, 0.356)
Dy (0.380, 0.736, 0.644)
Dy (0.454, 0.584, 0.870)
Dy (0.714, 0.584, 0.130)
Lu (0.058, 0.375, 0.683)
Lu (0.693, 0.375, 0.317)
Te (0.338, 0.338, 0.000)
Te (0.737, 0.237, 0.500)
Pd (0.303, 0.067, 0.236)
Pd (0.832, 0.067, 0.764)


VASP calculation (PBE) on an optimized crystal structure of Dy2Lu5Te2Pd2.

Results
Energy above the lowest structure with this stoichiometry: 4 meV/atom
Calculated volume: 26.184 Å³/atom

Cell lengths 9.289, 9.289, 9.289 Å; angles 155.76, 67.56, 118.03 degrees
Element x y z (fractional)
Dy (0.130, 0.000, 0.130)
Dy (0.870, 0.000, 0.870)
Lu (0.110, 0.793, 0.317)
Lu (0.419, 0.419, 0.000)
Lu (0.475, 0.793, 0.683)
Lu (0.506, 0.150, 0.356)
Lu (0.794, 0.150, 0.644)
Te (0.156, 0.656, 0.500)
Te (0.752, 0.752, 0.000)
Pd (0.254, 0.487, 0.767)
Pd (0.720, 0.487, 0.233)


Which formula does entry 4 have? Dy2Lu5Te2Pd2


What did the third record say?
VASP calculation (PBE) on an optimized crystal structure of Dy5Lu2Te2Pd2.

Results
Energy above the lowest structure with this stoichiometry: 0 meV/atom
Calculated volume: 26.757 Å³/atom

Cell lengths 9.362, 9.362, 9.362 Å; angles 155.72, 67.23, 118.40 degrees
Element x y z (fractional)
Dy (0.000, 0.000, 0.000)
Dy (0.092, 0.736, 0.356)
Dy (0.380, 0.736, 0.644)
Dy (0.454, 0.584, 0.870)
Dy (0.714, 0.584, 0.130)
Lu (0.058, 0.375, 0.683)
Lu (0.693, 0.375, 0.317)
Te (0.338, 0.338, 0.000)
Te (0.737, 0.237, 0.500)
Pd (0.303, 0.067, 0.236)
Pd (0.832, 0.067, 0.764)